Record 1
Entry from Alexandria: crystalline DySi2Rh6 at its relaxed geometry (GGA-PBE).

Cell and atoms, written as POSCAR:
```
DySi2Rh6
1.0
7.704 0.000 0.000
3.852 6.672 0.000
3.852 2.224 6.290
Dy Si Rh
2 4 12
Direct
0.500 0.500 0.500 Dy
0.750 0.750 0.750 Dy
0.125 0.125 0.125 Si
0.125 0.625 0.125 Si
0.125 0.125 0.625 Si
0.625 0.125 0.125 Si
0.249 0.249 0.751 Rh
0.751 0.751 0.249 Rh
0.249 0.751 0.249 Rh
0.249 0.751 0.751 Rh
0.499 0.499 0.001 Rh
0.499 0.001 0.001 Rh
0.751 0.249 0.751 Rh
0.001 0.001 0.499 Rh
0.499 0.001 0.499 Rh
0.001 0.499 0.499 Rh
0.751 0.249 0.249 Rh
0.001 0.499 0.001 Rh
```

Computed properties:
Volume (A^3/atom): 18.0
Total energy (eV/atom): -6.79

Record 2
Entry from Alexandria: crystalline GeSbP2Br at its relaxed geometry (GGA-PBE).

Cell and atoms, written as POSCAR:
```
GeSbP2Br
1.0
-0.587 4.846 -0.208
-0.284 -0.268 -5.423
-4.843 -0.575 0.282
Sb Ge Br P
1 1 1 2
Direct
0.000 0.500 0.000 Sb
0.500 0.500 0.500 Ge
0.000 0.000 0.000 Br
0.000 0.000 0.500 P
0.500 0.000 0.000 P
```

Computed properties:
Volume (A^3/atom): 26.0
Total energy (eV/atom): -2.90